[1]
This record from Alexandria describes PmH3Au after structural relaxation. The functional is PBE-GGA.

a = 5.6442 Å, b = 6.6102 Å, c = 6.7004 Å
α = 90.00°, β = 90.00°, γ = 90.00°
Atoms (fractional coordinates):
Au: 0.2500 0.9184 0.6910
Au: 0.2500 0.4184 0.8090
Au: 0.7500 0.0816 0.3090
Au: 0.7500 0.5816 0.1910
Pm: 0.7500 0.6811 0.6339
Pm: 0.2500 0.8189 0.1339
Pm: 0.7500 0.1811 0.8661
Pm: 0.2500 0.3189 0.3661
H: 0.5117 0.3825 0.6476
H: 0.4883 0.1175 0.1476
H: 0.5117 0.8825 0.8524
H: 0.7500 0.0244 0.5621
H: 0.4883 0.6175 0.3524
H: 0.0117 0.6175 0.3524
H: 0.2500 0.4756 0.0621
H: 0.0117 0.1175 0.1476
H: 0.7500 0.5244 0.9379
H: 0.2500 0.9756 0.4379
H: 0.9883 0.8825 0.8524
H: 0.9883 0.3825 0.6476

Properties
magnetization: 0.00 μB/f.u.
volume: 250.0 Å³ per cell
total DFT energy (no corrections): -3.961 eV/atom

[2]
This record from Alexandria describes Pr4Nd2HoEr2 after structural relaxation. The functional is PBE-GGA.

a = 5.1670 Å, b = 8.1695 Å, c = 8.1036 Å
α = 107.66°, β = 90.00°, γ = 108.44°
Atoms (fractional coordinates):
Er: 0.6670 0.3339 0.9999
Er: 0.3330 0.6661 0.0001
Nd: 0.1118 0.2235 0.6708
Nd: 0.8882 0.7765 0.3292
Ho: 0.0000 0.0000 0.0000
Pr: 0.2219 0.4437 0.3293
Pr: 0.5546 0.1092 0.3294
Pr: 0.4454 0.8908 0.6706
Pr: 0.7781 0.5563 0.6707

Properties
magnetization: 0.00 μB/f.u.
formation energy from the elements: 0.02 eV/atom
volume: 307.5 Å³ per cell

[3]
This record from Alexandria describes Cs4CePr3Se8 after structural relaxation. The functional is PBE-GGA.

a = 8.8821 Å, b = 9.8428 Å, c = 8.8828 Å
α = 116.85°, β = 120.00°, γ = 90.00°
Atoms (fractional coordinates):
Cs: 0.5000 0.0000 0.5000
Cs: 0.0000 0.0000 0.5000
Cs: 0.5000 0.0000 0.0000
Cs: 0.0000 0.0000 0.0000
Se: 0.2297 0.6905 0.4593
Se: 0.2693 0.3082 0.5386
Se: 0.2296 0.6905 0.9611
Se: 0.7315 0.6905 0.9611
Se: 0.7703 0.3095 0.5407
Se: 0.7704 0.3095 0.0389
Se: 0.7307 0.6918 0.4614
Se: 0.2685 0.3095 0.0389
Pr: 0.5000 0.5000 0.0000
Pr: 0.0000 0.5000 0.5000
Pr: 0.5000 0.5000 0.5000
Ce: 0.0000 0.5000 0.0000

Properties
magnetization: 0.99 μB/f.u.
formation energy from raw total energies: -1.71 eV per atom
volume: 573.9 Å³ per cell

What is the volume in the third record?
573.9 Å³ per cell